Record 1
This record from Alexandria describes crystalline ScSnIrRh at its relaxed geometry. The functional is PBE.

Energy above the most stable polymorph in this dataset in meV/atom: 38.1
Energy of formation in eV/atom: -0.763
Uncorrected energy in eV per atom: -7.40
Theoretical density in g cm⁻³: 11.26

a b c (Å): 6.4684 6.4684 6.4684
angles (deg): 90.00 90.00 90.00
Space group F-43m (No. 216)
Unique sites:
Sc 0.0000 0.0000 0.0000 x4
Sn 0.0000 0.0000 0.5000 x4
Ir 0.2500 0.2500 0.2500 x4
Rh 0.2500 0.2500 0.7500 x4

Record 2
This record from Alexandria describes crystalline Mg7Zn4 at its relaxed geometry. The functional is PBE.

Energy of formation in eV/atom: 0.034
Uncorrected energy in eV per atom: -1.44
Theoretical density in g cm⁻³: 3.12

a b c (Å): 7.7151 7.7151 4.4615
angles (deg): 90.00 90.00 120.00
Space group P-6m2 (No. 187)
Unique sites:
Mg 0.0000 0.0000 0.0000 x1
Mg 0.0626 0.5313 0.0000 x3
Mg 0.3899 0.1949 0.5000 x3
Zn 0.2149 0.4298 0.5000 x3
Zn 0.6667 0.3333 0.0000 x1

Record 3
This record from Alexandria describes crystalline Sr2In2Pb at its relaxed geometry. The functional is PBE.

Energy above the most stable polymorph in this dataset in meV/atom: 0.0
Energy of formation in eV/atom: -0.410
Uncorrected energy in eV per atom: -2.92
Theoretical density in g cm⁻³: 5.98

a b c (Å): 12.2412 5.1334 12.0680
angles (deg): 90.00 116.25 90.00
Space group C2/m (No. 12)
Unique sites:
Sr 0.0013 0.0000 0.1776 x4
Sr 0.1818 0.0000 0.6056 x4
In 0.0368 0.5000 0.3965 x4
In 0.1380 0.5000 0.0537 x4
Pb 0.2109 0.5000 0.8352 x4

Record 4
This record from Alexandria describes crystalline AcO2F2 at its relaxed geometry. The functional is PBE.

Uncorrected energy in eV per atom: -6.30
Theoretical density in g cm⁻³: 5.83
Uncorrected formation energy in kJ per mole of atoms: -265.1

a b c (Å): 7.5024 4.4290 5.1709
angles (deg): 90.00 99.85 90.00
Space group C2/m (No. 12)
Unique sites:
Ac 0.0000 0.0000 0.0000 x2
O 0.0918 0.0000 0.5181 x4
F 0.1534 0.5000 0.9129 x4

Record 5
This record from Alexandria describes crystalline AlMoAu at its relaxed geometry. The functional is PBE.

Energy above the most stable polymorph in this dataset in meV/atom: 41.6
Energy of formation in eV/atom: 0.029
Uncorrected energy in eV per atom: -5.92
Theoretical density in g cm⁻³: 10.07

a b c (Å): 3.5658 19.2960 3.0674
angles (deg): 90.00 90.00 90.00
Space group Cmcm (No. 63)
Unique sites:
Al 0.0000 0.0602 0.2500 x4
Mo 0.0000 0.2208 0.2500 x4
Au 0.0000 0.3740 0.2500 x4

Record 6
This record from Alexandria describes crystalline BeSbOs at its relaxed geometry. The functional is PBE.

Energy above the most stable polymorph in this dataset in meV/atom: 195.6
Uncorrected energy in eV per atom: -5.88
Theoretical density in g cm⁻³: 11.01
Uncorrected formation energy in kJ per mole of atoms: 46.3

a b c (Å): 3.0540 3.0540 5.9939
angles (deg): 90.00 90.00 120.00
Space group P3m1 (No. 156)
Unique sites:
Be 0.0000 0.0000 0.0000 x1
Sb 0.3333 0.6667 0.6144 x1
Os 0.6667 0.3333 0.2620 x1

Record 7
This record from Alexandria describes crystalline CsBeIr3 at its relaxed geometry. The functional is PBE.

Energy above the most stable polymorph in this dataset in meV/atom: 0.0
Energy of formation in eV/atom: 1.139
Uncorrected energy in eV per atom: -5.09
Theoretical density in g cm⁻³: 13.50

a b c (Å): 4.4548 4.4548 4.4548
angles (deg): 90.00 90.00 90.00
Space group Pm-3m (No. 221)
Unique sites:
Cs 0.0000 0.0000 0.0000 x1
Be 0.5000 0.5000 0.5000 x1
Ir 0.0000 0.5000 0.5000 x3

Record 8
This record from Alexandria describes crystalline Mg2ScMn3S8 at its relaxed geometry. The functional is PBE.

Uncorrected energy in eV per atom: -6.00
Theoretical density in g cm⁻³: 3.04
Uncorrected formation energy in kJ per mole of atoms: -95.7

a b c (Å): 7.3483 7.3483 18.0330
angles (deg): 90.00 90.00 120.00
Space group R-3m (No. 166, hexagonal axes)
Unique sites:
Mg 0.0000 0.0000 0.1243 x6
Sc 0.0000 0.0000 0.5000 x3
Mn 0.0000 0.5000 0.0000 x9
S 0.0000 0.0000 0.2603 x6
S 0.0244 0.5122 0.2585 x18

Record 9
This record from Alexandria describes crystalline MoP2Os at its relaxed geometry. The functional is PBE.

Energy above the most stable polymorph in this dataset in meV/atom: 260.7
Energy of formation in eV/atom: 0.016
Uncorrected energy in eV per atom: -8.20
Theoretical density in g cm⁻³: 10.43

a b c (Å): 2.9284 2.9284 22.3904
angles (deg): 90.00 90.00 120.00
Space group R-3m (No. 166, hexagonal axes)
Unique sites:
Mo 0.0000 0.0000 0.0000 x3
P 0.0000 0.0000 0.2482 x6
Os 0.0000 0.0000 0.5000 x3

Record 10
This record from Alexandria describes crystalline Y3Ir2 at its relaxed geometry. The functional is PBE.

Energy above the most stable polymorph in this dataset in meV/atom: 0.0
Energy of formation in eV/atom: -0.755
Uncorrected energy in eV per atom: -8.18
Theoretical density in g cm⁻³: 9.04

a b c (Å): 4.7837 4.7837 6.0342
angles (deg): 90.00 90.00 120.00
Space group P-3m1 (No. 164)
Unique sites:
Y 0.0000 0.0000 0.0000 x1
Y 0.3333 0.6667 0.3363 x2
Ir 0.3333 0.6667 0.8303 x2

Record 11
This record from Alexandria describes crystalline LaPaGaAu at its relaxed geometry. The functional is PBE.

Energy of formation in eV/atom: -0.263
Uncorrected energy in eV per atom: -5.44
Theoretical density in g cm⁻³: 10.48

a b c (Å): 7.3896 7.3896 7.3896
angles (deg): 90.00 90.00 90.00
Space group F-43m (No. 216)
Unique sites:
La 0.0000 0.0000 0.0000 x4
Pa 0.0000 0.0000 0.5000 x4
Ga 0.2500 0.2500 0.2500 x4
Au 0.2500 0.2500 0.7500 x4

Record 12
This record from Alexandria describes crystalline LiAgPd at its relaxed geometry. The functional is PBE.

Energy above the most stable polymorph in this dataset in meV/atom: 2.1
Energy of formation in eV/atom: -0.266
Uncorrected energy in eV per atom: -3.59
Theoretical density in g cm⁻³: 8.04

a b c (Å): 4.3086 5.1182 5.2793
angles (deg): 63.24 66.15 65.97
Space group P-1 (No. 2)
Unique sites:
Li 0.1607 0.2751 0.4093 x2
Ag 0.1748 0.7528 0.8935 x2
Pd 0.4760 0.7734 0.2712 x2

> The lowest uncorrected energy belongs to which entry?

MoP2Os

> Which formula does entry 4 have?

AcO2F2

> Number 9 is which compound?

MoP2Os